# Li2Mn3ZnO8

A relaxed Li2Mn3ZnO8 crystal (PBE+U, Alexandria).

Lattice parameters (Å, degrees): 8.3077 8.3077 8.3077 90.00 90.00 90.00
Fractional coordinates of all 56 atoms:
Li1 0.1245 0.1245 0.1245
Li2 0.2469 0.7531 0.2531
Li3 0.2531 0.2469 0.7531
Li4 0.3755 0.8755 0.6245
Li5 0.6245 0.3755 0.8755
Li6 0.7469 0.7469 0.7469
Li7 0.7531 0.2531 0.2469
Li8 0.8755 0.6245 0.3755
Mn1 0.1217 0.8754 0.8767
Mn2 0.1233 0.6217 0.6246
Mn3 0.1246 0.3767 0.3783
Mn4 0.3754 0.6233 0.8783
Mn5 0.3767 0.3783 0.1246
Mn6 0.3783 0.1246 0.3767
Mn7 0.6217 0.6246 0.1233
Mn8 0.6233 0.8783 0.3754
Mn9 0.6246 0.1233 0.6217
Mn10 0.8754 0.8767 0.1217
Mn11 0.8767 0.1217 0.8754
Mn12 0.8783 0.3754 0.6233
Zn1 0.0036 0.9964 0.4964
Zn2 0.4964 0.0036 0.9964
Zn3 0.5036 0.5036 0.5036
Zn4 0.9964 0.4964 0.0036
O1 0.1008 0.8717 0.1057
O2 0.1057 0.1008 0.8717
O3 0.1141 0.3859 0.6141
O4 0.1230 0.8515 0.6410
O5 0.1283 0.6057 0.3992
O6 0.1361 0.6361 0.8639
O7 0.1410 0.3770 0.1485
O8 0.1485 0.1410 0.3770
O9 0.3515 0.8590 0.8770
O10 0.3590 0.6230 0.6485
O11 0.3639 0.3639 0.3639
O12 0.3717 0.3943 0.8992
O13 0.3770 0.1485 0.1410
O14 0.3859 0.6141 0.1141
O15 0.3943 0.8992 0.3717
O16 0.3992 0.1283 0.6057
O17 0.6008 0.6283 0.8943
O18 0.6057 0.3992 0.1283
O19 0.6141 0.1141 0.3859
O20 0.6230 0.6485 0.3590
O21 0.6283 0.8943 0.6008
O22 0.6361 0.8639 0.1361
O23 0.6410 0.1230 0.8515
O24 0.6485 0.3590 0.6230
O25 0.8515 0.6410 0.1230
O26 0.8590 0.8770 0.3515
O27 0.8639 0.1361 0.6361
O28 0.8717 0.1057 0.1008
O29 0.8770 0.3515 0.8590
O30 0.8859 0.8859 0.8859
O31 0.8943 0.6008 0.6283
O32 0.8992 0.3717 0.3943

Values from the calculation:
Total magnetization, μB/atom: 0.64
Electronic total energy, eV for the cell shown: -358.83